(1)
Entry from Alexandria: Dy2GaCu2Rh5 after structural relaxation (PBE).

Space-group type: P4/mbm (127)
Total energy: -124.617 eV for the cell shown
V: 326.16 Å³/cell

Unit cell a=3.7560 b=9.3187 c=9.3187 alpha=90.00 beta=90.00 gamma=90.00
Positions (direct):
Ga1 0.0000 0.5000 0.5000
Dy1 0.0000 0.6737 0.1737
Ga2 0.0000 0.0000 0.0000
Rh1 0.5000 0.0673 0.7994
Cu1 0.0000 0.8756 0.3756
Cu2 0.0000 0.6244 0.8756
Rh2 0.5000 0.4327 0.2994
Rh3 0.5000 0.7006 0.4327
Rh4 0.5000 0.0000 0.5000
Rh5 0.5000 0.2006 0.0673
Rh6 0.5000 0.7994 0.9327
Dy2 0.0000 0.8263 0.6737
Rh7 0.5000 0.2994 0.5673
Cu3 0.0000 0.1244 0.6244
Rh8 0.5000 0.5673 0.7006
Cu4 0.0000 0.3756 0.1244
Dy3 0.0000 0.3263 0.8263
Rh9 0.5000 0.5000 0.0000
Dy4 0.0000 0.1737 0.3263
Rh10 0.5000 0.9327 0.2006

(2)
Entry from Alexandria: YTm3Ni after structural relaxation (PBE).

Space-group type: P2_1/c (14)
Total energy: -105.214 eV for the cell shown
V: 524.43 Å³/cell

Unit cell a=7.1180 b=7.8412 c=9.8124 alpha=106.75 beta=90.00 gamma=90.00
Positions (direct):
Tm1 0.8705 0.9153 0.6060
Tm2 0.7952 0.4292 0.4724
Tm3 0.3705 0.0847 0.8940
Tm4 0.5096 0.2161 0.6201
Y1 0.4581 0.3160 0.2435
Tm5 0.1295 0.0847 0.3940
Ni1 0.7600 0.0622 0.8919
Y2 0.0419 0.3160 0.7435
Tm6 0.9904 0.2161 0.1201
Y3 0.5419 0.6840 0.7565
Ni2 0.2600 0.9378 0.6081
Tm7 0.0096 0.7839 0.8799
Tm8 0.7048 0.4292 0.9724
Ni3 0.2400 0.9378 0.1081
Ni4 0.7400 0.0622 0.3919
Tm9 0.2047 0.5708 0.5276
Tm10 0.6295 0.9153 0.1060
Tm11 0.2952 0.5708 0.0276
Tm12 0.4904 0.7839 0.3799
Y4 0.9581 0.6840 0.2565

| no. | formation energy from the elements (eV per formula unit) | Fermi-level density of states (states/eV/f.u.) |
| --- | --- | --- |
| 1 | -5.13 | 10.46 |
| 2 | -0.64 | 5.61 |